[1]
Density functional theory data (PBE) for Cu2ReHg after structural relaxation.

Cell: 2.6822 4.2717 5.3894 Å, 90.00 104.23 90.00°
Space group Pm (No. 6)
Unique sites:
Cu  0.0000  0.0000  0.0000 (multiplicity 1)
Cu  0.1350  0.5000  0.2620 (multiplicity 1)
Re  0.4092  0.5000  0.8122 (multiplicity 1)
Hg  0.7495  0.0000  0.4916 (multiplicity 1)



[2]
Density functional theory data (PBE) for CuReHg after structural relaxation.

Output
The energy relative to the lowest polymorph listed for this composition comes out at 591 meV/atom.

Cell: 5.9875 5.9875 5.9875 Å, 90.00 90.00 90.00°
Space group F-43m (No. 216)
Unique sites:
Cu  0.0000  0.0000  0.0000 (multiplicity 4)
Re  0.2500  0.2500  0.2500 (multiplicity 4)
Hg  0.2500  0.2500  0.7500 (multiplicity 4)



[3]
Density functional theory data (PBE) for CuReHg after structural relaxation.

Output
The energy relative to the lowest polymorph listed for this composition comes out at 45 meV/atom.

Cell: 2.7571 2.7571 12.6026 Å, 90.00 90.00 90.00°
Space group I4mm (No. 107)
Unique sites:
Cu  0.0000  0.0000  0.0000 (multiplicity 2)
Re  0.0000  0.0000  0.6446 (multiplicity 2)
Hg  0.0000  0.0000  0.3296 (multiplicity 2)



[4]
Density functional theory data (PBE) for Cu2ReHg after structural relaxation.

Cell: 2.7590 3.7709 5.8198 Å, 90.00 90.08 90.00°
Space group P2/m (No. 10)
Unique sites:
Cu  0.0007  0.0000  0.2815 (multiplicity 2)
Re  0.5000  0.5000  0.5000 (multiplicity 1)
Hg  0.5000  0.5000  0.0000 (multiplicity 1)



[5]
Density functional theory data (PBE) for Cu2ReHg after structural relaxation.

Cell: 2.7197 4.6691 9.4295 Å, 90.00 90.00 90.00°
Space group Imm2 (No. 44)
Unique sites:
Cu  0.0000  0.0000  0.0000 (multiplicity 2)
Cu  0.0000  0.5000  0.2741 (multiplicity 2)
Re  0.0000  0.0000  0.5291 (multiplicity 2)
Hg  0.0000  0.5000  0.7535 (multiplicity 2)



[6]
Density functional theory data (PBE) for Cu2ReHg after structural relaxation.

Cell: 4.0465 4.0465 3.6362 Å, 90.00 90.00 90.00°
Space group P4/mmm (No. 123)
Unique sites:
Cu  0.0000  0.5000  0.0000 (multiplicity 2)
Re  0.0000  0.0000  0.5000 (multiplicity 1)
Hg  0.5000  0.5000  0.5000 (multiplicity 1)



no.,final energy (eV per atom),DFT formation energy (kcal/mol of atoms)
1,-4.699,12.4
2,-4.461,26.6
3,-5.008,14.0
4,-4.739,11.4
5,-4.671,13.0
6,-4.608,14.5